No. 1
Here is a geometry-optimized TaTl2Ru structure from the Alexandria database. Energies are from GGA-PBE.

Properties
Energy above the lowest structure with this stoichiometry = 457 meV per atom
Space-group type = Pmmm
Crystal system = orthorhombic

Unit cell a=3.149 b=4.870 c=5.167 alpha=90.00 beta=90.00 gamma=90.00
Element x y z (fractional)
Ta: 0.000 0.000 0.000
Tl: 0.000 0.500 0.500
Tl: 0.500 0.500 0.000
Ru: 0.500 0.000 0.500

=====

No. 2
Here is a geometry-optimized ErVFeP2 structure from the Alexandria database. Energies are from GGA-PBE.

Properties
DFT total energy = -7.4938 eV/atom
Space-group type = I-4m2
Crystal system = tetragonal

Unit cell a=5.658 b=5.658 c=5.658 alpha=139.92 beta=139.92 gamma=57.97
Element x y z (fractional)
Er: 0.000 0.000 0.000
V: 0.250 0.750 0.500
Fe: 0.750 0.250 0.500
P: 0.376 0.376 0.000
P: 0.624 0.624 0.000

=====

No. 3
Here is a geometry-optimized Tb8Ga2Sn structure from the Alexandria database. Energies are from GGA-PBE.

Properties
DFT total energy = -4.6228 eV/atom
Space-group type = C2/m
Crystal system = monoclinic

Unit cell a=8.760 b=8.760 c=7.915 alpha=110.74 beta=110.74 gamma=32.40
Element x y z (fractional)
Tb: 0.049 0.049 0.235
Tb: 0.164 0.164 0.741
Tb: 0.322 0.322 0.555
Tb: 0.397 0.397 0.041
Tb: 0.603 0.603 0.959
Tb: 0.678 0.678 0.445
Tb: 0.836 0.836 0.259
Tb: 0.951 0.951 0.765
Ga: 0.215 0.215 0.162
Ga: 0.785 0.785 0.838
Sn: 0.500 0.500 0.500

=====

No. 4
Here is a geometry-optimized Er2Al2CdNi5 structure from the Alexandria database. Energies are from GGA-PBE.

Properties
DFT total energy = -4.9770 eV/atom
Space-group type = P4/mbm
Crystal system = tetragonal

Unit cell a=9.526 b=9.526 c=3.529 alpha=90.00 beta=90.00 gamma=90.00
Element x y z (fractional)
Er: 0.183 0.317 0.000
Er: 0.317 0.817 0.000
Er: 0.683 0.183 0.000
Er: 0.817 0.683 0.000
Al: 0.113 0.613 0.000
Al: 0.387 0.113 0.000
Al: 0.613 0.887 0.000
Al: 0.887 0.387 0.000
Cd: 0.000 0.000 0.000
Cd: 0.500 0.500 0.000
Ni: 0.000 0.500 0.500
Ni: 0.062 0.779 0.500
Ni: 0.221 0.062 0.500
Ni: 0.279 0.562 0.500
Ni: 0.438 0.279 0.500
Ni: 0.500 0.000 0.500
Ni: 0.562 0.721 0.500
Ni: 0.721 0.438 0.500
Ni: 0.779 0.938 0.500
Ni: 0.938 0.221 0.500

=====

No. 5
Here is a geometry-optimized YAl2ZnSb structure from the Alexandria database. Energies are from GGA-PBE.

Properties
Energy above the lowest structure with this stoichiometry = 0 meV per atom
Space-group type = P4/mmm
Crystal system = tetragonal

Unit cell a=4.683 b=4.683 c=5.638 alpha=90.00 beta=90.00 gamma=90.00
Element x y z (fractional)
Y: 0.000 0.000 0.000
Al: 0.000 0.500 0.500
Al: 0.500 0.000 0.500
Zn: 0.500 0.500 0.500
Sb: 0.500 0.500 0.000

=====

No. 6
Here is a geometry-optimized InRhCl2 structure from the Alexandria database. Energies are from GGA-PBE.

Properties
Energy above the lowest structure with this stoichiometry = 447 meV per atom
Space-group type = C2/m
Crystal system = monoclinic

Unit cell a=5.014 b=5.014 c=4.344 alpha=111.19 beta=111.19 gamma=104.95
Element x y z (fractional)
In: 0.000 0.000 0.000
Rh: 0.500 0.500 0.000
Cl: 0.000 0.500 0.500
Cl: 0.500 0.000 0.500